[1]
Entry from the Alexandria database: a relaxed Li2CaTmTl4 crystal (PBE).

Unit cell a=8.993 b=8.993 c=8.993 alpha=33.57 beta=33.57 gamma=33.57
Positions (direct):
Li1 0.250 0.250 0.250
Li2 0.750 0.750 0.750
Ca1 0.000 0.000 0.000
Tm1 0.500 0.500 0.500
Tl1 0.127 0.127 0.127
Tl2 0.376 0.376 0.376
Tl3 0.624 0.624 0.624
Tl4 0.873 0.873 0.873

## Properties
For the total magnetization, the calculation gives 0.00 μB per formula unit. For the formation energy, the calculation gives -0.31 eV/atom. As for the raw total energy: -22.217 eV per cell. Its crystal system is trigonal. Its density of states at the Fermi level is 2.59 states/eV per cell.


[2]
Entry from the Alexandria database: a relaxed BaMg14Cu crystal (PBE).

Unit cell a=10.368 b=6.776 c=6.776 alpha=55.12 beta=90.00 gamma=90.00
Positions (direct):
Ba1 0.000 0.000 0.000
Mg1 0.000 0.001 0.494
Mg2 0.000 0.494 0.001
Mg3 0.218 0.614 0.614
Mg4 0.258 0.131 0.623
Mg5 0.258 0.623 0.131
Mg6 0.272 0.142 0.142
Mg7 0.500 0.474 0.474
Mg8 0.500 0.481 0.963
Mg9 0.500 0.963 0.481
Mg10 0.500 0.969 0.969
Mg11 0.728 0.142 0.142
Mg12 0.742 0.131 0.623
Mg13 0.742 0.623 0.131
Mg14 0.782 0.614 0.614
Cu1 0.000 0.435 0.435

## Properties
For the total magnetization, the calculation gives 0.00 μB per formula unit. For the formation energy, the calculation gives 0.07 eV/atom. As for the raw total energy: -27.187 eV per cell. Its crystal system is orthorhombic. Its density of states at the Fermi level is 5.60 states/eV per cell. The polymorph energy (0 for the lowest one) comes out at 0.0 meV per atom.


[3]
Entry from the Alexandria database: a relaxed LiCaTa crystal (PBE).

Unit cell a=4.775 b=5.396 c=11.059 alpha=90.00 beta=90.00 gamma=90.00
Positions (direct):
Li1 0.249 0.250 0.190
Li2 0.251 0.750 0.690
Li3 0.749 0.250 0.310
Li4 0.751 0.750 0.810
Ca1 0.249 0.250 0.500
Ca2 0.251 0.750 0.000
Ca3 0.749 0.250 0.000
Ca4 0.751 0.750 0.500
Ta1 0.247 0.250 0.790
Ta2 0.253 0.750 0.290
Ta3 0.747 0.250 0.710
Ta4 0.753 0.750 0.210

## Properties
For the total magnetization, the calculation gives 0.00 μB per formula unit. For the formation energy, the calculation gives 0.53 eV/atom. As for the raw total energy: -56.654 eV per cell. Its crystal system is orthorhombic. Its density of states at the Fermi level is 8.85 states/eV per cell. The polymorph energy (0 for the lowest one) comes out at 291.2 meV per atom.


[4]
Entry from the Alexandria database: a relaxed K4SrTl crystal (PBE).

Unit cell a=7.819 b=7.819 c=7.819 alpha=60.00 beta=60.00 gamma=60.00
Positions (direct):
K1 0.376 0.376 0.376
K2 0.376 0.376 0.872
K3 0.376 0.872 0.376
K4 0.872 0.376 0.376
Sr1 0.000 0.000 0.000
Tl1 0.750 0.750 0.750

## Properties
For the total magnetization, the calculation gives 0.00 μB per formula unit. For the formation energy, the calculation gives 0.19 eV/atom. As for the raw total energy: -7.286 eV per cell. Its crystal system is cubic. Its density of states at the Fermi level is 6.64 states/eV per cell.


[5]
Entry from the Alexandria database: a relaxed Rb2Nb2Sn crystal (PBE).

Unit cell a=10.722 b=10.722 c=2.978 alpha=90.00 beta=90.00 gamma=90.00
Positions (direct):
Rb1 0.122 0.378 0.000
Rb2 0.378 0.878 0.000
Rb3 0.622 0.122 0.000
Rb4 0.878 0.622 0.000
Nb1 0.181 0.681 0.500
Nb2 0.319 0.181 0.500
Nb3 0.681 0.819 0.500
Nb4 0.819 0.319 0.500
Sn1 0.000 0.000 0.000
Sn2 0.500 0.500 0.000

## Properties
For the total magnetization, the calculation gives 5.32 μB per formula unit. For the formation energy, the calculation gives 1.80 eV/atom. As for the raw total energy: -34.128 eV per cell. Its crystal system is tetragonal. Its density of states at the Fermi level is 13.25 states/eV per cell. The polymorph energy (0 for the lowest one) comes out at 1094.8 meV per atom.


[6]
Entry from the Alexandria database: a relaxed Ba2Sc2Sn crystal (PBE).

Unit cell a=7.875 b=7.875 c=5.683 alpha=90.00 beta=90.00 gamma=90.00
Positions (direct):
Ba1 0.172 0.328 0.000
Ba2 0.328 0.828 0.000
Ba3 0.672 0.172 0.000
Ba4 0.828 0.672 0.000
Sc1 0.145 0.645 0.500
Sc2 0.355 0.145 0.500
Sc3 0.645 0.855 0.500
Sc4 0.855 0.355 0.500
Sn1 0.000 0.000 0.500
Sn2 0.500 0.500 0.500

## Properties
For the total magnetization, the calculation gives 0.00 μB per formula unit. For the formation energy, the calculation gives -0.04 eV/atom. As for the raw total energy: -41.443 eV per cell. Its crystal system is tetragonal. Its density of states at the Fermi level is 13.28 states/eV per cell. The polymorph energy (0 for the lowest one) comes out at 0.0 meV per atom.